# 1
# Cd2TcPbSe | Alexandria via LeMat-Bulk | PBEsol | relaxed
data_Cd2TcPbSe
_chemical_formula_sum 'Cd2 Tc1 Pb1 Se1'
_cell_length_a 5.181
_cell_length_b 5.181
_cell_length_c 5.164
_cell_angle_alpha 90.00
_cell_angle_beta 90.00
_cell_angle_gamma 90.00
_symmetry_space_group_name_H-M 'P 4/m m m'
_symmetry_Int_Tables_number 123
_symmetry_space_group_name_Hall '-P 4 2'
loop_
_atom_site_label
_atom_site_type_symbol
_atom_site_fract_x
_atom_site_fract_y
_atom_site_fract_z
Cd1 Cd 0.000 0.500 0.000
Tc1 Tc 0.000 0.000 0.000
Pb1 Pb 0.000 0.000 0.500
Se1 Se 0.500 0.500 0.500
# ΔE_f (raw)   0.830 eV per atom

# 2
# ZrScTl2 | Alexandria via LeMat-Bulk | PBEsol | relaxed
data_ZrScTl2
_chemical_formula_sum 'Zr2 Sc2 Tl4'
_cell_length_a 9.753
_cell_length_b 3.226
_cell_length_c 5.926
_cell_angle_alpha 90.00
_cell_angle_beta 98.72
_cell_angle_gamma 90.00
_symmetry_space_group_name_H-M 'C 1 2/m 1'
_symmetry_Int_Tables_number 12
loop_
_symmetry_equiv_pos_as_xyz
'x,y,z'
'-x,-y,-z'
'-x,y,-z'
'x,-y,z'
'x+1/2,y+1/2,z'
'-x+1/2,-y+1/2,-z'
'-x+1/2,y+1/2,-z'
'x+1/2,-y+1/2,z'
loop_
_atom_site_label
_atom_site_type_symbol
_atom_site_fract_x
_atom_site_fract_y
_atom_site_fract_z
Zr1 Zr 0.000 0.000 0.000
Sc1 Sc 0.000 0.500 0.500
Tl1 Tl 0.249 0.000 0.749
# VASP energy   -5.368 eV/atom

Number 2 is which compound?
ZrScTl2